--- one ---
A plane-wave DFT calculation with GGA-PBE was carried out for a geometry-optimized Sb2OsAu structure.

Calculated values
Space group ... P4mm (99)
M_tot ... 0.00 μB per cell
D(E_F) ... 3.53 states/eV/f.u.
Crystal system ... tetragonal

Lattice parameters (Å, degrees): 3.192 3.192 8.375 90.00 90.00 90.00
Fractional positions:
Sb1 0.000 0.000 0.000
Sb2 0.500 0.500 0.360
Os1 0.500 0.500 0.821
Au1 0.000 0.000 0.596


--- two ---
A plane-wave DFT calculation with GGA-PBE was carried out for a geometry-optimized Sb2OsAu structure.

Calculated values
Space group ... R3m (160)
M_tot ... 0.00 μB per cell
D(E_F) ... 4.39 states/eV/f.u.
Crystal system ... trigonal

Lattice parameters (Å, degrees): 3.242 3.242 29.627 90.00 90.00 120.00
Fractional positions:
Sb1 0.000 0.000 0.000
Sb2 0.000 0.000 0.210
Sb3 0.333 0.667 0.667
Sb4 0.333 0.667 0.876
Sb5 0.667 0.333 0.333
Sb6 0.667 0.333 0.543
Os1 0.000 0.000 0.479
Os2 0.333 0.667 0.145
Os3 0.667 0.333 0.812
Au1 0.000 0.000 0.740
Au2 0.333 0.667 0.407
Au3 0.667 0.333 0.074


Most stable structure, least stable structure: one, two.


--- one ---
A plane-wave DFT calculation with GGA-PBE was carried out for a geometry-optimized Sb2OsAu structure.

Calculated values
Space group ... Pmm2 (25)
M_tot ... 0.00 μB per cell
D(E_F) ... 3.69 states/eV/f.u.
Crystal system ... orthorhombic

Lattice parameters (Å, degrees): 3.233 3.932 7.114 90.00 90.00 90.00
Fractional positions:
Sb1 0.000 0.000 0.000
Sb2 0.500 0.500 0.437
Os1 0.500 0.500 0.828
Au1 0.000 0.000 0.607


--- two ---
A plane-wave DFT calculation with GGA-PBE was carried out for a geometry-optimized Sb2OsAu structure.

Calculated values
Space group ... Cmm2 (35)
M_tot ... 0.00 μB per cell
D(E_F) ... 3.08 states/eV/f.u.
Crystal system ... orthorhombic

Lattice parameters (Å, degrees): 3.140 5.365 10.410 90.00 90.00 90.00
Fractional positions:
Sb1 0.000 0.000 0.000
Sb2 0.000 0.500 0.345
Sb3 0.500 0.000 0.345
Sb4 0.500 0.500 0.000
Os1 0.000 0.000 0.549
Os2 0.500 0.500 0.549
Au1 0.000 0.500 0.769
Au2 0.500 0.000 0.769


Most stable structure, least stable structure: one, two.